Record 1
The following is a PBE calculation of AcMgCd5Ag2 after structural relaxation, from Alexandria via LeMat-Bulk.

Properties
The density of states at the Fermi level comes out at 0.6046 states/eV/atom. The formation energy is -0.0057 eV/atom. Its space-group type is P4/mmm.

a b c (Å): 5.3247 5.3247 8.1199
angles (deg): 90.00 90.00 90.00
Sites, in units of the cell vectors:
Ac  0.0000  0.0000  0.0000
Mg  0.0000  0.0000  0.5000
Cd  0.0000  0.5000  0.2770
Cd  0.0000  0.5000  0.7230
Cd  0.5000  0.0000  0.2770
Cd  0.5000  0.0000  0.7230
Cd  0.5000  0.5000  0.0000
Ag  0.5000  0.5000  0.3366
Ag  0.5000  0.5000  0.6634

Record 2
The following is a PBE calculation of Pr8NdEr2 after structural relaxation, from Alexandria via LeMat-Bulk.

Properties
The density of states at the Fermi level comes out at 1.6507 states/eV/atom. The calculation puts the energy above the most stable polymorph in this dataset at 58 meV/atom. The formation energy is 0.1633 eV/atom. Its space-group type is C2/m.

a b c (Å): 9.2375 9.2375 6.7480
angles (deg): 98.98 98.98 43.53
Sites, in units of the cell vectors:
Pr  0.0961  0.0961  0.9176
Pr  0.1513  0.6732  0.5893
Pr  0.2551  0.2551  0.6793
Pr  0.3268  0.8487  0.4107
Pr  0.6732  0.1513  0.5893
Pr  0.7449  0.7449  0.3207
Pr  0.8487  0.3268  0.4107
Pr  0.9039  0.9039  0.0824
Nd  0.5000  0.5000  0.0000
Er  0.3011  0.3011  0.1912
Er  0.6989  0.6989  0.8088

Record 3
The following is a PBE calculation of Li2NdCd10 after structural relaxation, from Alexandria via LeMat-Bulk.

Properties
The density of states at the Fermi level comes out at 0.3285 states/eV/atom. The formation energy is -0.1919 eV/atom. Its space-group type is Fmmm.

a b c (Å): 10.1006 7.6770 7.6404
angles (deg): 82.51 48.90 48.59
Sites, in units of the cell vectors:
Li  0.0000  0.0000  0.5000
Li  0.5000  0.5000  0.0000
Nd  0.0000  0.0000  0.0000
Cd  0.0000  0.5000  0.0000
Cd  0.0139  0.6520  0.3480
Cd  0.2861  0.5098  0.4902
Cd  0.3480  0.9861  0.0139
Cd  0.4902  0.7139  0.2861
Cd  0.5000  0.0000  0.5000
Cd  0.5098  0.2861  0.7139
Cd  0.6520  0.0139  0.9861
Cd  0.7139  0.4902  0.5098
Cd  0.9861  0.3480  0.6520

Question: density of states at the Fermi level of number 2 (Pr8NdEr2)?
Answer: 1.6507 states/eV/atom

Question: density of states at the Fermi level of number 1 (AcMgCd5Ag2)?
Answer: 0.6046 states/eV/atom

Question: Which of these has the lowest density of states at the Fermi level?
Answer: Li2NdCd10